# 1
A relaxed As2OsAu crystal. Source: Alexandria via LeMat-Bulk, functional PBE.

Geometry as POSCAR:
```
As2OsAu
1.0
1.4755 -2.4798 0.0000
1.4755 2.4798 0.0000
0.0000 0.0000 10.0875
As Os Au
2 1 1
direct
0.0000 0.0000 0.0000
0.5000 0.5000 0.3287
0.0000 0.0000 0.5234
0.5000 0.5000 0.7662
```

Computed properties:
- raw total energy (eV per atom) = -5.48
- size of the total moment (μB/atom) = 0.000

# 2
A relaxed As2OsAu crystal. Source: Alexandria via LeMat-Bulk, functional PBE.

Geometry as POSCAR:
```
As2OsAu
1.0
-2.1266 2.1266 3.6844
2.1266 -2.1266 3.6844
2.1266 2.1266 -3.6844
As Os Au
2 1 1
direct
0.2500 0.7500 0.5000
0.7500 0.2500 0.5000
0.0000 0.0000 0.0000
0.5000 0.5000 0.0000
```

Computed properties:
- raw total energy (eV per atom) = -5.40
- size of the total moment (μB/atom) = 0.000

# 3
A relaxed As2OsAu crystal. Source: Alexandria via LeMat-Bulk, functional PBE.

Geometry as POSCAR:
```
As2OsAu
1.0
-2.9221 2.9221 5.4018
2.9221 -2.9221 5.4018
2.9221 2.9221 -5.4018
As Os Au
4 2 2
direct
0.0936 0.6250 0.9686
0.3750 0.3436 0.4686
0.6564 0.1250 0.0314
0.8750 0.9064 0.5314
0.0000 0.0000 0.0000
0.7500 0.2500 0.5000
0.2500 0.7500 0.5000
0.5000 0.5000 0.0000
```

Computed properties:
- raw total energy (eV per atom) = -5.66
- size of the total moment (μB/atom) = 0.000

# 4
A relaxed AsOsAu2 crystal. Source: Alexandria via LeMat-Bulk, functional PBE.

Geometry as POSCAR:
```
AsOsAu2
1.0
3.0011 0.0000 0.0000
0.0000 3.0011 0.0000
0.0000 0.0000 7.7727
As Os Au
1 1 2
direct
0.0000 0.0000 0.0000
0.5000 0.5000 0.8217
0.0000 0.0000 0.5668
0.5000 0.5000 0.3108
```

Computed properties:
- raw total energy (eV per atom) = -5.31
- size of the total moment (μB/atom) = 0.000

# 5
A relaxed As2OsAu crystal. Source: Alexandria via LeMat-Bulk, functional PBE.

Geometry as POSCAR:
```
As2OsAu
1.0
1.5506 0.8953 8.3359
-1.5506 0.8953 8.3359
0.0000 -1.7905 8.3359
As Os Au
2 1 1
direct
0.2405 0.2405 0.2405
0.7595 0.7595 0.7595
0.5000 0.5000 0.5000
0.0000 0.0000 0.0000
```

Computed properties:
- raw total energy (eV per atom) = -5.73
- size of the total moment (μB/atom) = 0.000

# 6
A relaxed AsOsAu2 crystal. Source: Alexandria via LeMat-Bulk, functional PBE.

Geometry as POSCAR:
```
AsOsAu2
1.0
3.2111 0.0000 0.0000
0.0000 4.1712 0.0000
-1.5806 0.0000 5.2101
As Os Au
1 1 2
direct
0.0000 0.0000 0.0000
0.8897 0.5000 0.7811
0.2630 0.0000 0.5244
0.6228 0.5000 0.2498
```

Computed properties:
- raw total energy (eV per atom) = -5.14
- size of the total moment (μB/atom) = 0.000

# 7
A relaxed As2OsAu crystal. Source: Alexandria via LeMat-Bulk, functional PBE.

Geometry as POSCAR:
```
As2OsAu
1.0
1.5110 0.8724 9.8654
-1.5110 0.8724 9.8654
0.0000 -1.7447 9.8654
As Os Au
2 1 1
direct
0.0000 0.0000 0.0000
0.2100 0.2100 0.2100
0.7252 0.7252 0.7252
0.4703 0.4703 0.4703
```

Computed properties:
- raw total energy (eV per atom) = -5.60
- size of the total moment (μB/atom) = 0.000

# 8
A relaxed AsOsAu2 crystal. Source: Alexandria via LeMat-Bulk, functional PBE.

Geometry as POSCAR:
```
AsOsAu2
1.0
1.4542 -2.4252 0.0000
1.4542 2.4252 0.0000
0.0000 0.0000 10.4751
As Os Au
1 1 2
direct
0.0000 0.0000 0.0000
0.5000 0.5000 0.8091
0.0000 0.0000 0.5721
0.5000 0.5000 0.3222
```

Computed properties:
- raw total energy (eV per atom) = -5.22
- size of the total moment (μB/atom) = 0.000

# 9
A relaxed As2OsAu crystal. Source: Alexandria via LeMat-Bulk, functional PBE.

Geometry as POSCAR:
```
As2OsAu
1.0
2.7189 0.0000 0.0000
0.0000 4.7749 0.0000
0.0000 0.0000 5.3425
As Os Au
2 1 1
direct
0.0000 0.0000 0.2373
0.0000 0.0000 0.7627
0.0000 0.5000 0.0000
0.5000 0.5000 0.5000
```

Computed properties:
- raw total energy (eV per atom) = -5.43
- size of the total moment (μB/atom) = 0.000

# 10
A relaxed As2OsAuSe crystal. Source: Alexandria via LeMat-Bulk, functional PBE.

Geometry as POSCAR:
```
As2OsAuSe
1.0
4.6367 0.0000 0.0000
0.0000 4.6367 0.0000
0.0000 0.0000 5.4337
As Os Au Se
2 1 1 1
direct
0.0000 0.5000 0.0000
0.5000 0.0000 0.0000
0.0000 0.0000 0.0000
0.5000 0.5000 0.5000
0.0000 0.0000 0.5000
```

Computed properties:
- ΔE_f (raw) (eV per atom) = 0.73
- raw total energy (eV per atom) = -4.72
- size of the total moment (μB/atom) = 0.000

# 11
A relaxed TeAsOs2Au crystal. Source: Alexandria via LeMat-Bulk, functional PBE.

Geometry as POSCAR:
```
TeAsOs2Au
1.0
4.6323 0.0000 0.0000
0.0000 4.6323 0.0000
0.0000 0.0000 4.8675
Te As Os Au
1 1 2 1
direct
0.0000 0.0000 0.0000
0.5000 0.5000 0.5000
0.0000 0.5000 0.5000
0.5000 0.0000 0.5000
0.5000 0.5000 0.0000
```

Computed properties:
- ΔE_f (raw) (eV per atom) = 1.35
- raw total energy (eV per atom) = -5.35
- size of the total moment (μB/atom) = 0.000

# 12
A relaxed AsOsWAu2 crystal. Source: Alexandria via LeMat-Bulk, functional PBE.

Geometry as POSCAR:
```
AsOsWAu2
1.0
4.6532 0.0000 0.0000
0.0000 4.6532 0.0000
0.0000 0.0000 4.7102
As Os W Au
1 1 1 2
direct
0.0000 0.0000 0.0000
0.5000 0.5000 0.5000
0.0000 0.0000 0.5000
0.0000 0.5000 0.0000
0.5000 0.0000 0.0000
```

Computed properties:
- raw total energy (eV per atom) = -5.27
- size of the total moment (μB/atom) = 0.000

# 13
A relaxed As2PAu crystal. Source: Alexandria via LeMat-Bulk, functional PBE.

Geometry as POSCAR:
```
As2PAu
1.0
4.1936 0.0000 0.0000
0.0000 4.1936 0.0000
0.0000 0.0000 4.1927
As P Au
2 1 1
direct
0.0000 0.5000 0.0000
0.5000 0.0000 0.0000
0.0000 0.0000 0.5000
0.5000 0.5000 0.5000
```

Computed properties:
- raw total energy (eV per atom) = -3.91
- size of the total moment (μB/atom) = 0.000

# 14
A relaxed As2PAu crystal. Source: Alexandria via LeMat-Bulk, functional PBE.

Geometry as POSCAR:
```
As2PAu
1.0
1.5502 -2.3676 0.0000
1.5502 2.3676 0.0000
0.0000 0.0000 9.8081
As P Au
2 1 1
direct
0.0000 0.0000 0.2376
0.0000 0.0000 0.7624
0.5000 0.5000 0.0000
0.5000 0.5000 0.5000
```

Computed properties:
- raw total energy (eV per atom) = -4.03
- size of the total moment (μB/atom) = 0.000

# 15
A relaxed As2PAu crystal. Source: Alexandria via LeMat-Bulk, functional PBE.

Geometry as POSCAR:
```
As2PAu
1.0
2.7194 0.0000 0.0000
0.0000 3.6405 0.0000
-0.0039 0.0000 7.6543
As P Au
2 1 1
direct
0.0027 0.0000 0.2643
0.9973 0.0000 0.7357
0.0000 0.5000 0.5000
0.0000 0.5000 0.0000
```

Computed properties:
- raw total energy (eV per atom) = -4.36
- size of the total moment (μB/atom) = 0.000

# 16
A relaxed AsPAu4 crystal. Source: Alexandria via LeMat-Bulk, functional PBE.

Geometry as POSCAR:
```
AsPAu4
1.0
0.0000 3.8907 3.8907
3.8907 0.0000 3.8907
3.8907 3.8907 0.0000
As P Au
1 1 4
direct
0.0000 0.0000 0.0000
0.2500 0.2500 0.2500
0.1250 0.6250 0.6250
0.6250 0.1250 0.6250
0.6250 0.6250 0.1250
0.6250 0.6250 0.6250
```

Computed properties:
- raw total energy (eV per atom) = -3.37
- size of the total moment (μB/atom) = 0.000

# 17
A relaxed As2PAu crystal. Source: Alexandria via LeMat-Bulk, functional PBE.

Geometry as POSCAR:
```
As2PAu
1.0
2.8101 -4.7593 0.0000
2.8101 4.7593 0.0000
-0.7348 0.0000 2.7036
As P Au
2 1 1
direct
0.0000 0.5000 0.0000
0.5000 0.0000 0.0000
0.0000 0.0000 0.5000
0.5000 0.5000 0.5000
```

Computed properties:
- raw total energy (eV per atom) = -4.00
- size of the total moment (μB/atom) = 0.000

# 18
A relaxed As2PAu crystal. Source: Alexandria via LeMat-Bulk, functional PBE.

Geometry as POSCAR:
```
As2PAu
1.0
5.5691 -1.7724 0.0000
5.5691 1.7724 0.0000
-2.6318 0.0000 5.3352
As P Au
2 1 1
direct
0.0000 0.0000 0.0000
0.0271 0.0271 0.4392
0.3482 0.3482 0.9911
0.7036 0.7036 0.6567
```

Computed properties:
- raw total energy (eV per atom) = -4.27
- size of the total moment (μB/atom) = 0.000

# 19
A relaxed As2PAu crystal. Source: Alexandria via LeMat-Bulk, functional PBE.

Geometry as POSCAR:
```
As2PAu
1.0
-2.3174 2.3174 3.3826
2.3174 -2.3174 3.3826
2.3174 2.3174 -3.3826
As P Au
2 1 1
direct
0.0000 0.0000 0.0000
0.7500 0.2500 0.5000
0.5000 0.5000 0.0000
0.2500 0.7500 0.5000
```

Computed properties:
- raw total energy (eV per atom) = -3.96
- size of the total moment (μB/atom) = 0.000

# 20
A relaxed As2PAu crystal. Source: Alexandria via LeMat-Bulk, functional PBE.

Geometry as POSCAR:
```
As2PAu
1.0
1.4593 0.8425 9.7502
-1.4593 0.8425 9.7502
0.0000 -1.6851 9.7502
As P Au
2 1 1
direct
0.2462 0.2462 0.2462
0.7538 0.7538 0.7538
0.5000 0.5000 0.5000
0.0000 0.0000 0.0000
```

Computed properties:
- raw total energy (eV per atom) = -4.00
- size of the total moment (μB/atom) = 0.000

# 21
A relaxed As2PAu crystal. Source: Alexandria via LeMat-Bulk, functional PBE.

Geometry as POSCAR:
```
As2PAu
1.0
2.7970 0.0000 0.0000
0.0000 5.1797 0.0000
-0.0087 0.0000 5.4350
As P Au
2 1 1
direct
0.0000 0.0000 0.0000
0.0015 0.5000 0.4637
0.9988 0.5000 0.0364
0.0028 0.0000 0.5069
```

Computed properties:
- raw total energy (eV per atom) = -4.36
- size of the total moment (μB/atom) = 0.000

# 22
A relaxed AsPAu3 crystal. Source: Alexandria via LeMat-Bulk, functional PBE.

Geometry as POSCAR:
```
AsPAu3
1.0
4.9419 0.0000 0.0000
0.0000 4.9419 0.0000
0.0000 0.0000 4.9419
As P Au
1 1 3
direct
0.0000 0.0000 0.0000
0.5000 0.5000 0.5000
0.0000 0.0000 0.5000
0.0000 0.5000 0.0000
0.5000 0.0000 0.0000
```

Computed properties:
- raw total energy (eV per atom) = -3.13
- size of the total moment (μB/atom) = 0.481

# 23
A relaxed As2PAu crystal. Source: Alexandria via LeMat-Bulk, functional PBE.

Geometry as POSCAR:
```
As2PAu
1.0
-2.9094 2.9094 5.5538
2.9094 -2.9094 5.5538
2.9094 2.9094 -5.5538
As P Au
4 2 2
direct
0.1072 0.6250 0.9822
0.3750 0.3572 0.4822
0.6428 0.1250 0.0178
0.8750 0.8928 0.5178
0.0000 0.0000 0.0000
0.7500 0.2500 0.5000
0.2500 0.7500 0.5000
0.5000 0.5000 0.0000
```

Computed properties:
- raw total energy (eV per atom) = -4.38
- size of the total moment (μB/atom) = 0.000

# 24
A relaxed AsPAu3 crystal. Source: Alexandria via LeMat-Bulk, functional PBE.

Geometry as POSCAR:
```
AsPAu3
1.0
4.7567 0.0000 0.0000
0.0000 4.7567 0.0000
0.0000 0.0000 4.7567
As P Au
1 1 3
direct
0.0000 0.0000 0.0000
0.5000 0.5000 0.5000
0.0000 0.5000 0.5000
0.5000 0.0000 0.5000
0.5000 0.5000 0.0000
```

Computed properties:
- raw total energy (eV per atom) = -3.44
- size of the total moment (μB/atom) = 0.000

# 25
A relaxed As2PAu crystal. Source: Alexandria via LeMat-Bulk, functional PBE.

Geometry as POSCAR:
```
As2PAu
1.0
1.6144 -2.5228 0.0000
1.6144 2.5228 0.0000
0.0000 0.0000 9.1011
As P Au
2 1 1
direct
0.0000 0.0000 0.0000
0.5000 0.5000 0.2983
0.0000 0.0000 0.5032
0.5000 0.5000 0.7532
```

Computed properties:
- raw total energy (eV per atom) = -4.03
- size of the total moment (μB/atom) = 0.000

# 26
A relaxed As2PAu crystal. Source: Alexandria via LeMat-Bulk, functional PBE.

Geometry as POSCAR:
```
As2PAu
1.0
3.7716 0.0000 0.0000
0.0000 3.7716 0.0000
0.0000 0.0000 5.4274
As P Au
2 1 1
direct
0.0000 0.0000 0.0000
0.5000 0.5000 0.4690
0.0000 0.0000 0.4365
0.5000 0.5000 0.9648
```

Computed properties:
- raw total energy (eV per atom) = -4.37
- size of the total moment (μB/atom) = 0.000

# 27
A relaxed As2PAu crystal. Source: Alexandria via LeMat-Bulk, functional PBE.

Geometry as POSCAR:
```
As2PAu
1.0
-1.6666 1.9097 6.0440
1.6666 -1.9097 6.0440
1.6666 1.9097 -6.0440
As P Au
2 1 1
direct
0.0000 0.0000 0.0000
0.7323 0.2323 0.5000
0.5750 0.5750 0.0000
0.3306 0.8306 0.5000
```

Computed properties:
- raw total energy (eV per atom) = -4.17
- size of the total moment (μB/atom) = 0.000

# 28
A relaxed As2PAu crystal. Source: Alexandria via LeMat-Bulk, functional PBE.

Geometry as POSCAR:
```
As2PAu
1.0
1.8497 1.0679 6.3262
-1.8497 1.0679 6.3262
0.0000 -2.1359 6.3262
As P Au
2 1 1
direct
0.0000 0.0000 0.0000
0.2468 0.2468 0.2468
0.7456 0.7456 0.7456
0.4913 0.4913 0.4913
```

Computed properties:
- raw total energy (eV per atom) = -4.35
- size of the total moment (μB/atom) = 0.000

# 29
A relaxed As2PAu crystal. Source: Alexandria via LeMat-Bulk, functional PBE.

Geometry as POSCAR:
```
As2PAu
1.0
2.8857 0.0000 0.0000
0.0000 4.9815 0.0000
0.0000 0.0000 5.0147
As P Au
2 1 1
direct
0.0000 0.0000 0.0000
0.5000 0.0000 0.5000
0.0000 0.5000 0.5000
0.5000 0.5000 0.0000
```

Computed properties:
- raw total energy (eV per atom) = -4.03
- size of the total moment (μB/atom) = 0.000

# 30
A relaxed As2PAu crystal. Source: Alexandria via LeMat-Bulk, functional PBE.

Geometry as POSCAR:
```
As2PAu
1.0
5.6678 -1.7836 0.0000
5.6678 1.7836 0.0000
-1.3480 0.0000 3.8822
As P Au
2 1 1
direct
0.1912 0.1912 0.2699
0.8088 0.8088 0.7301
0.5000 0.5000 0.0000
0.0000 0.0000 0.5000
```

Computed properties:
- raw total energy (eV per atom) = -4.19
- size of the total moment (μB/atom) = 0.000